(1)
This record from Alexandria describes crystalline LiMnAgGe at its relaxed geometry. The functional is PBE-GGA.

Values from the calculation:
ρ ... 6.54 g/cm3
Energy of formation ... -7.18 kJ per mole of atoms

Cell lengths 6.269, 6.269, 6.269 Å; angles 90.00, 90.00, 90.00 degrees
Space group F-43m (No. 216)
One atom of each set of equivalent atoms:
Li: 0.000 0.000 0.000 [4 per cell]
Mn: 0.000 0.000 0.500 [4 per cell]
Ag: 0.250 0.250 0.750 [4 per cell]
Ge: 0.250 0.250 0.250 [4 per cell]



(2)
This record from Alexandria describes crystalline NaLi2AgGe at its relaxed geometry. The functional is PBE-GGA.

Values from the calculation:
ρ ... 3.00 g/cm3
Energy of formation ... -6.05 kJ per mole of atoms

Cell lengths 4.935, 4.935, 4.943 Å; angles 90.00, 90.00, 90.00 degrees
Space group P4/mmm (No. 123)
One atom of each set of equivalent atoms:
Na: 0.000 0.000 0.000 [1 per cell]
Li: 0.000 0.500 0.500 [2 per cell]
Ag: 0.500 0.500 0.000 [1 per cell]
Ge: 0.500 0.500 0.500 [1 per cell]



(3)
This record from Alexandria describes crystalline LiNdAgGe at its relaxed geometry. The functional is PBE-GGA.

Values from the calculation:
ρ ... 6.38 g/cm3
Energy of formation ... -40.89 kJ per mole of atoms

Cell lengths 7.014, 7.014, 7.014 Å; angles 90.00, 90.00, 90.00 degrees
Space group F-43m (No. 216)
One atom of each set of equivalent atoms:
Li: 0.000 0.000 0.000 [4 per cell]
Nd: 0.000 0.000 0.500 [4 per cell]
Ag: 0.250 0.250 0.750 [4 per cell]
Ge: 0.250 0.250 0.250 [4 per cell]



(4)
This record from Alexandria describes crystalline Li3Nd2AgGe4 at its relaxed geometry. The functional is PBE-GGA.

Values from the calculation:
ρ ... 6.13 g/cm3
Energy of formation ... -49.26 kJ per mole of atoms

Cell lengths 4.247, 4.247, 10.633 Å; angles 90.00, 90.00, 90.00 degrees
Space group P-4m2 (No. 115)
One atom of each set of equivalent atoms:
Li: 0.000 0.000 0.000 [1 per cell]
Li: 0.000 0.500 0.626 [2 per cell]
Nd: 0.000 0.500 0.260 [2 per cell]
Ag: 0.500 0.500 0.000 [1 per cell]
Ge: 0.000 0.000 0.500 [1 per cell]
Ge: 0.000 0.500 0.855 [2 per cell]
Ge: 0.500 0.500 0.500 [1 per cell]



(5)
This record from Alexandria describes crystalline Li2AgGeO4 at its relaxed geometry. The functional is PBE-GGA.

Values from the calculation:
ρ ... 4.46 g/cm3

Cell lengths 4.870, 4.870, 8.113 Å; angles 90.00, 90.00, 90.00 degrees
Space group I-42m (No. 121)
One atom of each set of equivalent atoms:
Li: 0.000 0.500 0.250 [4 per cell]
Ag: 0.000 0.000 0.000 [2 per cell]
Ge: 0.000 0.000 0.500 [2 per cell]
O: 0.211 0.211 0.374 [8 per cell]



(6)
This record from Alexandria describes crystalline LiAgGeO2 at its relaxed geometry. The functional is PBE-GGA.

Values from the calculation:
ρ ... 4.93 g/cm3

Cell lengths 3.754, 3.754, 5.241 Å; angles 90.00, 90.00, 90.00 degrees
Space group P4/mmm (No. 123)
One atom of each set of equivalent atoms:
Li: 0.000 0.000 0.000 [1 per cell]
Ag: 0.500 0.500 0.000 [1 per cell]
Ge: 0.500 0.500 0.500 [1 per cell]
O: 0.000 0.500 0.500 [2 per cell]



(7)
This record from Alexandria describes crystalline Li2AgGeP at its relaxed geometry. The functional is PBE-GGA.

Values from the calculation:
ρ ... 3.58 g/cm3
Energy of formation ... 3.60 kJ per mole of atoms

Cell lengths 4.566, 4.566, 5.015 Å; angles 90.00, 90.00, 90.00 degrees
Space group P4/mmm (No. 123)
One atom of each set of equivalent atoms:
Li: 0.000 0.500 0.000 [2 per cell]
Ag: 0.000 0.000 0.500 [1 per cell]
Ge: 0.500 0.500 0.500 [1 per cell]
P: 0.500 0.500 0.000 [1 per cell]



(8)
This record from Alexandria describes crystalline LiPaAgGe at its relaxed geometry. The functional is PBE-GGA.

Values from the calculation:
ρ ... 8.51 g/cm3
Energy of formation ... -10.74 kJ per mole of atoms

Cell lengths 6.887, 6.887, 6.887 Å; angles 90.00, 90.00, 90.00 degrees
Space group F-43m (No. 216)
One atom of each set of equivalent atoms:
Li: 0.000 0.000 0.000 [4 per cell]
Pa: 0.000 0.000 0.500 [4 per cell]
Ag: 0.250 0.250 0.250 [4 per cell]
Ge: 0.250 0.250 0.750 [4 per cell]



(9)
This record from Alexandria describes crystalline Li2AgGe2Pd2 at its relaxed geometry. The functional is PBE-GGA.

Values from the calculation:
ρ ... 7.34 g/cm3
Energy of formation ... -40.74 kJ per mole of atoms

Cell lengths 7.575, 4.350, 7.061 Å; angles 90.00, 110.99, 90.00 degrees
Space group C2/m (No. 12)
One atom of each set of equivalent atoms:
Li: 0.139 0.000 0.415 [4 per cell]
Ag: 0.000 0.000 0.000 [2 per cell]
Ge: 0.080 0.500 0.745 [4 per cell]
Pd: 0.228 0.500 0.184 [4 per cell]



(10)
This record from Alexandria describes crystalline Li2AgGe2Pd5 at its relaxed geometry. The functional is PBE-GGA.

Values from the calculation:
ρ ... 8.11 g/cm3
Energy of formation ... -39.94 kJ per mole of atoms

Cell lengths 9.358, 9.358, 3.735 Å; angles 90.00, 90.00, 90.00 degrees
Space group P4/mbm (No. 127)
One atom of each set of equivalent atoms:
Li: 0.169 0.331 0.000 [4 per cell]
Ag: 0.000 0.000 0.000 [2 per cell]
Ge: 0.131 0.631 0.000 [4 per cell]
Pd: 0.000 0.500 0.500 [2 per cell]
Pd: 0.076 0.796 0.500 [8 per cell]



(11)
This record from Alexandria describes crystalline LiPm2Ag3Ge4 at its relaxed geometry. The functional is PBE-GGA.

Values from the calculation:
ρ ... 7.36 g/cm3
Energy of formation ... -36.64 kJ per mole of atoms

Cell lengths 4.218, 4.218, 11.555 Å; angles 90.00, 90.00, 90.00 degrees
Space group P-4m2 (No. 115)
One atom of each set of equivalent atoms:
Li: 0.000 0.000 0.000 [1 per cell]
Pm: 0.000 0.500 0.765 [2 per cell]
Ag: 0.000 0.500 0.356 [2 per cell]
Ag: 0.500 0.500 0.000 [1 per cell]
Ge: 0.000 0.000 0.500 [1 per cell]
Ge: 0.000 0.500 0.136 [2 per cell]
Ge: 0.500 0.500 0.500 [1 per cell]



(12)
This record from Alexandria describes crystalline LiPuAgGe at its relaxed geometry. The functional is PBE-GGA.

Values from the calculation:
ρ ... 9.16 g/cm3
Energy of formation ... -14.68 kJ per mole of atoms

Cell lengths 6.789, 6.789, 6.789 Å; angles 90.00, 90.00, 90.00 degrees
Space group F-43m (No. 216)
One atom of each set of equivalent atoms:
Li: 0.000 0.000 0.000 [4 per cell]
Pu: 0.250 0.250 0.250 [4 per cell]
Ag: 0.250 0.250 0.750 [4 per cell]
Ge: 0.000 0.000 0.500 [4 per cell]



Going through the records in order, we get E values of -4.71; -2.59; -3.96; -4.17; -5.31; -4.32; -3.30; -4.83; -4.18; -4.60; -4.22; -6.08 eV/atom.